Rb2NbPbSe4 | the Alexandria database | PBE | relaxed; electronic total energy = -4.452 eV/atom; space-group type = Fddd (70); E_form (uncorrected) = -17.19 kcal/mol of atoms
1.0
-3.151 4.135 4.982
-4.272 -3.802 5.658
8.558 1.240 9.586
Rb Se Nb Pb
4 8 2 2
Direct
0.565 0.500 0.870 Rb
0.185 0.000 0.630 Rb
0.935 0.500 0.130 Rb
0.815 0.000 0.370 Rb
0.198 0.300 0.389 Se
0.337 0.800 0.111 Se
0.886 0.700 0.611 Se
0.864 0.800 0.889 Se
0.503 0.300 0.611 Se
0.552 0.200 0.111 Se
0.413 0.700 0.389 Se
0.247 0.200 0.889 Se
0.500 0.000 0.000 Nb
0.250 0.500 0.500 Nb
0.000 0.000 0.000 Pb
0.750 0.500 0.500 Pb